[1]
Material: Li4Tb3ScS8
Method: DFT, PBE
State: relaxed

Summary:
For the raw formation energy, the calculation gives -1.816 eV per atom. The value obtained for the density of states at the Fermi level is 0.00 states/eV per atom. The space group is R-3m, No. 166.

Cell: 7.752 7.614 7.752 Å, 120.62 120.00 90.00°
Positions (direct):
1 Li 0.500 0.000 0.000
2 Li 0.500 0.000 0.500
3 Li 0.000 0.000 0.000
4 Li 0.000 0.000 0.500
5 Tb 0.500 0.500 0.000
6 Tb 0.500 0.500 0.500
7 Tb 0.000 0.500 0.500
8 Sc 0.000 0.500 0.000
9 S 0.243 0.747 0.004
10 S 0.243 0.747 0.486
11 S 0.249 0.246 0.497
12 S 0.761 0.747 0.004
13 S 0.239 0.253 0.996
14 S 0.751 0.754 0.503
15 S 0.757 0.253 0.514
16 S 0.757 0.253 0.996

---

[2]
Material: Cs2GaPb2
Method: DFT, PBE
State: relaxed

Summary:
For the calculated formation energy, the calculation gives 0.1813 eV per atom. For the polymorph energy (0 for the lowest one), the calculation gives 235 meV/atom. The value obtained for the density of states at the Fermi level is 1.05 states/eV per atom. The space group is I4/mmm, No. 139.

Cell: 4.464 4.464 12.527 Å, 79.74 79.74 90.00°
Each line ends with the local moment (μB).
Positions (direct):
1 Pb 0.750 0.250 0.500  0.00
2 Pb 0.250 0.750 0.500  0.00
3 Cs 0.399 0.399 0.202  0.03
4 Cs 0.601 0.601 0.798  0.03
5 Ga 0.000 0.000 0.000  0.21

---

[3]
Material: Ta2W5
Method: DFT, PBE
State: relaxed

Summary:
For the calculated formation energy, the calculation gives -0.1018 eV per atom. The value obtained for the density of states at the Fermi level is 0.48 states/eV per atom. The space group is C2/m, No. 12.

Cell: 4.539 7.873 7.020 Å, 100.71 108.86 90.00°
Positions (direct):
1 Ta 0.179 0.393 0.858
2 Ta 0.321 0.107 0.142
3 Ta 0.821 0.607 0.142
4 Ta 0.679 0.893 0.858
5 W 0.396 0.465 0.293
6 W 0.104 0.035 0.707
7 W 0.038 0.679 0.576
8 W 0.462 0.821 0.424
9 W 0.962 0.321 0.424
10 W 0.538 0.179 0.576
11 W 0.896 0.965 0.293
12 W 0.604 0.535 0.707
13 W 0.750 0.250 0.000
14 W 0.250 0.750 0.000

---

[4]
Material: HfScMn4
Method: DFT, PBE
State: relaxed

Summary:
For the calculated formation energy, the calculation gives -0.1923 eV per atom. The value obtained for the density of states at the Fermi level is 0.99 states/eV per atom. The space group is F-43m, No. 216.

Cell: 4.916 4.916 4.916 Å, 60.00 60.00 60.00°
Each line ends with the local moment (μB).
Positions (direct):
1 Sc 0.000 0.000 0.000  -0.12
2 Mn 0.625 0.625 0.125  0.65
3 Mn 0.625 0.125 0.625  0.65
4 Mn 0.625 0.625 0.625  0.65
5 Mn 0.125 0.625 0.625  0.65
6 Hf 0.250 0.250 0.250  -0.17

---

[5]
Material: Cs2LaAgBr6
Method: DFT, PBE
State: relaxed

Summary:
For the polymorph energy (0 for the lowest one), the calculation gives 0 meV/atom. For the raw formation energy, the calculation gives -1.611 eV per atom. The value obtained for the density of states at the Fermi level is 0.00 states/eV per atom. The space group is P-3m1, No. 164.

Cell: 6.992 8.070 8.070 Å, 120.00 90.00 90.00°
Positions (direct):
1 Cs 0.223 0.333 0.667
2 Cs 0.777 0.667 0.333
3 La 0.500 0.000 0.000
4 Ag 0.000 0.000 0.000
5 Br 0.751 0.169 0.338
6 Br 0.751 0.169 0.831
7 Br 0.751 0.662 0.831
8 Br 0.249 0.831 0.169
9 Br 0.249 0.338 0.169
10 Br 0.249 0.831 0.662

---

[6]
Material: LaPm9Sn2
Method: DFT, PBE
State: relaxed

Summary:
For the calculated formation energy, the calculation gives -0.2733 eV per atom. The value obtained for the density of states at the Fermi level is 1.11 states/eV per atom. The space group is P4/mmm, No. 123.

Cell: 4.953 4.953 15.416 Å, 90.00 90.00 90.00°
Positions (direct):
1 La 0.000 0.000 0.000
2 Pm 0.500 0.500 0.000
3 Pm 0.500 0.500 0.342
4 Pm 0.500 0.500 0.658
5 Pm 0.500 0.000 0.179
6 Pm 0.500 0.000 0.500
7 Pm 0.500 0.000 0.821
8 Pm 0.000 0.500 0.179
9 Pm 0.000 0.500 0.500
10 Pm 0.000 0.500 0.821
11 Sn 0.000 0.000 0.339
12 Sn 0.000 0.000 0.661

---

[7]
Material: LaSbBr2
Method: DFT, PBE
State: relaxed

Summary:
For the polymorph energy (0 for the lowest one), the calculation gives 161 meV/atom. For the raw formation energy, the calculation gives -1.024 eV per atom. The value obtained for the density of states at the Fermi level is 0.02 states/eV per atom. The space group is I-42d, No. 122.

Cell: 4.922 4.922 11.005 Å, 77.08 77.08 90.00°
Positions (direct):
1 Sb 0.500 0.500 0.000
2 Sb 0.250 0.750 0.500
3 Br 0.633 0.125 0.250
4 Br 0.117 0.625 0.250
5 Br 0.375 0.367 0.750
6 Br 0.875 0.883 0.750
7 La 0.000 0.000 0.000
8 La 0.750 0.250 0.500

---

[8]
Material: RbReBiPd2
Method: DFT, PBE
State: relaxed

Summary:
For the calculated formation energy, the calculation gives 1.0986 eV per atom. For the polymorph energy (0 for the lowest one), the calculation gives 423 meV/atom. The value obtained for the density of states at the Fermi level is 0.76 states/eV per atom. The space group is P4/mmm, No. 123.

Cell: 5.307 5.280 5.307 Å, 90.00 90.00 90.00°
Each line ends with the local moment (μB).
Positions (direct):
1 Re 0.000 0.500 0.000  2.44
2 Rb 0.500 0.500 0.500  0.01
3 Bi 0.000 0.000 0.000  -0.08
4 Pd 0.000 0.000 0.500  0.04
5 Pd 0.500 0.000 0.000  0.03

---

Repeat the first record exactly.
Material: Li4Tb3ScS8
Method: DFT, PBE
State: relaxed

Summary:
For the raw formation energy, the calculation gives -1.816 eV per atom. The value obtained for the density of states at the Fermi level is 0.00 states/eV per atom. The space group is R-3m, No. 166.

Cell: 7.752 7.614 7.752 Å, 120.62 120.00 90.00°
Positions (direct):
1 Li 0.500 0.000 0.000
2 Li 0.500 0.000 0.500
3 Li 0.000 0.000 0.000
4 Li 0.000 0.000 0.500
5 Tb 0.500 0.500 0.000
6 Tb 0.500 0.500 0.500
7 Tb 0.000 0.500 0.500
8 Sc 0.000 0.500 0.000
9 S 0.243 0.747 0.004
10 S 0.243 0.747 0.486
11 S 0.249 0.246 0.497
12 S 0.761 0.747 0.004
13 S 0.239 0.253 0.996
14 S 0.751 0.754 0.503
15 S 0.757 0.253 0.514
16 S 0.757 0.253 0.996